1.
Entry from Alexandria via LeMat-Bulk: CoTc2Ru after structural relaxation (PBE).

Values from the calculation:
The value obtained for the magnetization is 0.00 μB/f.u. For the excess energy over the best structure of this formula in the dataset, the calculation gives 0.000 eV per atom. Its space-group type is Pmm2. The value obtained for the total energy is -0.685 Ry/atom.

abc: 4.253 2.693 4.668
angles: 90.00 90.00 90.00
Positions (direct):
Ru (0.500, 0.625, 0.785)
Tc (0.000, 0.125, 0.963)
Tc (0.500, 0.125, 0.301)
Co (0.000, 0.625, 0.450)

=====

2.
Entry from Alexandria via LeMat-Bulk: Ba2HfVFe after structural relaxation (PBE).

Values from the calculation:
The value obtained for the magnetization is 0.25 μB/f.u. Its space-group type is P4/mmm. The value obtained for the total energy is -0.344 Ry/atom.

abc: 5.842 4.823 5.842
angles: 90.00 90.00 90.00
Positions (direct):
V (0.000, 0.000, 0.000)
Ba (0.500, 0.000, 0.000)
Ba (0.000, 0.000, 0.500)
Fe (0.500, 0.500, 0.500)
Hf (0.000, 0.500, 0.000)

=====

3.
Entry from Alexandria via LeMat-Bulk: HfZnFeCu after structural relaxation (PBE).

Values from the calculation:
The value obtained for the magnetization is 0.65 μB/f.u. Its space-group type is F-43m. The value obtained for the total energy is -0.440 Ry/atom.

abc: 4.335 4.335 4.335
angles: 60.00 60.00 60.00
Positions (direct):
Fe (0.750, 0.750, 0.750)
Cu (0.250, 0.250, 0.250)
Zn (0.000, 0.000, 0.000)
Hf (0.500, 0.500, 0.500)

=====

4.
Entry from Alexandria via LeMat-Bulk: Ca7Cl after structural relaxation (PBE).

Values from the calculation:
The value obtained for the magnetization is 0.00 μB/f.u. The uncorrected formation energy is -0.176 eV per atom. Its space-group type is Fm-3m. The value obtained for the total energy is -0.159 Ry/atom.

abc: 7.666 7.666 7.666
angles: 60.00 60.00 60.00
Positions (direct):
Ca (0.500, 0.500, 0.000)
Ca (0.000, 0.500, 0.500)
Ca (0.500, 0.000, 0.500)
Ca (0.000, 0.500, 0.000)
Ca (0.500, 0.500, 0.500)
Ca (0.500, 0.000, 0.000)
Ca (0.000, 0.000, 0.500)
Cl (0.000, 0.000, 0.000)

=====

5.
Entry from Alexandria via LeMat-Bulk: TaSbOsRu2 after structural relaxation (PBE).

Values from the calculation:
The value obtained for the magnetization is 0.00 μB/f.u. The uncorrected formation energy is 1.851 eV per atom. Its space-group type is P4/mmm. The value obtained for the total energy is -0.537 Ry/atom.

abc: 4.656 4.751 4.656
angles: 90.00 90.00 90.00
Positions (direct):
Sb (0.000, 0.000, 0.000)
Os (0.000, 0.500, 0.000)
Ta (0.500, 0.500, 0.500)
Ru (0.500, 0.000, 0.000)
Ru (0.000, 0.000, 0.500)

=====

6.
Entry from Alexandria via LeMat-Bulk: Ca3Cd2As4 after structural relaxation (PBE).

Values from the calculation:
The value obtained for the magnetization is 0.00 μB/f.u. Its space-group type is C2/m. The value obtained for the total energy is -0.274 Ry/atom.

abc: 4.368 6.977 8.169
angles: 111.88 105.52 89.99
Positions (direct):
As (0.210, 0.228, 0.420)
As (0.790, 0.772, 0.580)
As (0.509, 0.325, 0.017)
As (0.491, 0.675, 0.983)
Cd (0.666, 0.975, 0.332)
Cd (0.334, 0.025, 0.668)
Ca (0.141, 0.572, 0.283)
Ca (0.000, 0.000, 0.000)
Ca (0.859, 0.428, 0.717)

=====

7.
Entry from Alexandria via LeMat-Bulk: ZrSiAu2 after structural relaxation (PBE).

Values from the calculation:
The value obtained for the magnetization is 0.00 μB/f.u. The uncorrected formation energy is -0.365 eV per atom. Its space-group type is Cm. The value obtained for the total energy is -0.404 Ry/atom.

abc: 5.069 5.069 4.951
angles: 56.94 56.94 46.63
Positions (direct):
Si (0.485, 0.485, 0.399)
Au (0.796, 0.796, 0.765)
Au (0.007, 0.007, 0.019)
Zr (0.212, 0.212, 0.317)

=====

8.
Entry from Alexandria via LeMat-Bulk: Dy6Sc2In3 after structural relaxation (PBE).

Values from the calculation:
The value obtained for the magnetization is 0.00 μB/f.u. Its space-group type is I4/mmm. The value obtained for the total energy is -0.310 Ry/atom.

abc: 5.376 5.376 11.957
angles: 102.99 102.99 90.00
Positions (direct):
Dy (0.407, 0.907, 0.814)
Dy (0.093, 0.593, 0.186)
Dy (0.696, 0.696, 0.391)
Dy (0.304, 0.304, 0.609)
Dy (0.593, 0.093, 0.186)
Dy (0.907, 0.407, 0.814)
In (0.000, 0.000, 0.000)
In (0.169, 0.169, 0.338)
In (0.831, 0.831, 0.662)
Sc (0.444, 0.444, 0.888)
Sc (0.556, 0.556, 0.112)

=====

Q: What is the formula in the fourth record?
A: Ca7Cl

=====

Q: Number 4 is which compound?
A: Ca7Cl

=====

Q: Which of these has the highest magnetization?
A: HfZnFeCu

=====

Q: magnetization of number 4 (Ca7Cl)?
A: 0.00 μB/f.u.